a | Here is Ho3HfN4 after structural relaxation from the Alexandria database. Energies are from PBE-GGA.

Lattice parameters (Å, degrees): 6.774 9.539 3.369 90.00 90.00 90.00
Positions (direct):
Ho1 0.000 0.000 0.000
Ho2 0.250 0.250 0.500
Ho3 0.250 0.750 0.500
Ho4 0.500 0.500 0.000
Ho5 0.750 0.250 0.500
Ho6 0.750 0.750 0.500
Hf1 0.000 0.500 0.000
Hf2 0.500 0.000 0.000
N1 0.000 0.260 0.000
N2 0.000 0.740 0.000
N3 0.234 0.500 0.500
N4 0.266 0.000 0.500
N5 0.500 0.240 0.000
N6 0.500 0.760 0.000
N7 0.734 0.000 0.500
N8 0.766 0.500 0.500

Output
**SG**: Cmmm
**Crystal system**: orthorhombic
**Magnetic moment**: 0.00 μB/cell

---

b | Here is Ho3HfN4 after structural relaxation from the Alexandria database. Energies are from PBE-GGA.

Lattice parameters (Å, degrees): 4.780 4.780 4.780 90.00 90.00 90.00
Positions (direct):
Ho1 0.000 0.000 0.500
Ho2 0.000 0.500 0.000
Ho3 0.500 0.000 0.000
Hf1 0.500 0.500 0.500
N1 0.000 0.000 0.000
N2 0.000 0.500 0.500
N3 0.500 0.000 0.500
N4 0.500 0.500 0.000

Output
**SG**: Pm-3m
**Crystal system**: cubic
**Magnetic moment**: 0.00 μB/cell

---

Each structure's energy above the most stable one, in meV/atom: a 0; b 63.

---

a | Here is HoHfNb after structural relaxation from the Alexandria database. Energies are from PBE-GGA.

Lattice parameters (Å, degrees): 3.657 3.657 10.617 90.00 90.00 90.00
Positions (direct):
Ho1 0.000 0.000 0.000
Ho2 0.500 0.500 0.500
Hf1 0.000 0.000 0.299
Hf2 0.500 0.500 0.799
Nb1 0.000 0.000 0.691
Nb2 0.500 0.500 0.191

Output
**SG**: I4mm
**Crystal system**: tetragonal
**Magnetic moment**: 0.00 μB/cell

---

b | Here is HoHfNb after structural relaxation from the Alexandria database. Energies are from PBE-GGA.

Lattice parameters (Å, degrees): 15.230 15.230 15.230 12.40 12.40 12.40
Positions (direct):
Ho1 0.132 0.132 0.132
Ho2 0.868 0.868 0.868
Hf1 0.406 0.406 0.406
Hf2 0.594 0.594 0.594
Nb1 0.312 0.312 0.312
Nb2 0.688 0.688 0.688

Output
**SG**: R-3m
**Crystal system**: trigonal
**Magnetic moment**: 0.00 μB/cell

---

Each structure's energy above the most stable one, in meV/atom: a 0; b 57.

---

a | Here is Ho2HfNi after structural relaxation from the Alexandria database. Energies are from PBE-GGA.

Lattice parameters (Å, degrees): 3.380 3.380 7.866 90.00 90.00 90.00
Positions (direct):
Ho1 0.000 0.000 0.209
Ho2 0.000 0.000 0.791
Hf1 0.500 0.500 0.500
Ni1 0.500 0.500 0.000

Output
**SG**: P4/mmm
**Crystal system**: tetragonal
**Magnetic moment**: 0.00 μB/cell

---

b | Here is Ho2HfNi after structural relaxation from the Alexandria database. Energies are from PBE-GGA.

Lattice parameters (Å, degrees): 3.319 3.319 30.526 90.00 90.00 120.00
Positions (direct):
Ho1 0.000 0.000 0.105
Ho2 0.000 0.000 0.895
Ho3 0.333 0.667 0.562
Ho4 0.333 0.667 0.771
Ho5 0.667 0.333 0.229
Ho6 0.667 0.333 0.438
Hf1 0.000 0.000 0.000
Hf2 0.333 0.667 0.667
Hf3 0.667 0.333 0.333
Ni1 0.000 0.000 0.500
Ni2 0.333 0.667 0.167
Ni3 0.667 0.333 0.833

Output
**SG**: R-3m
**Crystal system**: trigonal
**Magnetic moment**: 0.00 μB/cell

---

Each structure's energy above the most stable one, in meV/atom: a 0; b 391.

---

a | Here is HoHfP2 after structural relaxation from the Alexandria database. Energies are from PBE-GGA.

Lattice parameters (Å, degrees): 3.812 3.812 18.948 90.00 90.00 120.00
Positions (direct):
Ho1 0.000 0.000 0.000
Ho2 0.333 0.667 0.667
Ho3 0.667 0.333 0.333
Hf1 0.000 0.000 0.500
Hf2 0.333 0.667 0.167
Hf3 0.667 0.333 0.833
P1 0.000 0.000 0.244
P2 0.000 0.000 0.756
P3 0.333 0.667 0.422
P4 0.333 0.667 0.911
P5 0.667 0.333 0.089
P6 0.667 0.333 0.578

Output
**SG**: R-3m
**Crystal system**: trigonal
**Magnetic moment**: 0.00 μB/cell

---

b | Here is HoHfP2 after structural relaxation from the Alexandria database. Energies are from PBE-GGA.

Lattice parameters (Å, degrees): 3.764 3.764 19.782 90.00 90.00 120.00
Positions (direct):
Ho1 0.000 0.000 0.000
Ho2 0.333 0.667 0.667
Ho3 0.667 0.333 0.333
Hf1 0.000 0.000 0.175
Hf2 0.333 0.667 0.841
Hf3 0.667 0.333 0.508
P1 0.000 0.000 0.581
P2 0.000 0.000 0.761
P3 0.333 0.667 0.247
P4 0.333 0.667 0.428
P5 0.667 0.333 0.095
P6 0.667 0.333 0.914

Output
**SG**: R3m
**Crystal system**: trigonal
**Magnetic moment**: 0.00 μB/cell

---

Each structure's energy above the most stable one, in meV/atom: a 0; b 113.

---

a | Here is HoHfPd2 after structural relaxation from the Alexandria database. Energies are from PBE-GGA.

Lattice parameters (Å, degrees): 3.391 3.391 6.970 90.00 90.00 90.00
Positions (direct):
Ho1 0.000 0.000 0.000
Hf1 0.000 0.000 0.500
Pd1 0.500 0.500 0.283
Pd2 0.500 0.500 0.717

Output
**SG**: P4/mmm
**Crystal system**: tetragonal
**Magnetic moment**: 0.00 μB/cell

---

b | Here is HoHfPd2 after structural relaxation from the Alexandria database. Energies are from PBE-GGA.

Lattice parameters (Å, degrees): 6.805 6.805 6.805 90.00 90.00 90.00
Positions (direct):
Ho1 0.000 0.000 0.000
Ho2 0.000 0.500 0.500
Ho3 0.500 0.000 0.500
Ho4 0.500 0.500 0.000
Hf1 0.000 0.000 0.500
Hf2 0.000 0.500 0.000
Hf3 0.500 0.000 0.000
Hf4 0.500 0.500 0.500
Pd1 0.250 0.250 0.250
Pd2 0.250 0.250 0.750
Pd3 0.250 0.750 0.250
Pd4 0.250 0.750 0.750
Pd5 0.750 0.250 0.250
Pd6 0.750 0.250 0.750
Pd7 0.750 0.750 0.250
Pd8 0.750 0.750 0.750

Output
**SG**: Fm-3m
**Crystal system**: cubic
**Magnetic moment**: 0.00 μB/cell

---

Each structure's energy above the most stable one, in meV/atom: a 0; b 49.

---

a | Here is Pr2HoHf after structural relaxation from the Alexandria database. Energies are from PBE-GGA.

Lattice parameters (Å, degrees): 4.995 4.995 4.863 90.00 90.00 90.00
Positions (direct):
Pr1 0.000 0.500 0.000
Pr2 0.500 0.000 0.000
Ho1 0.000 0.000 0.500
Hf1 0.500 0.500 0.500

Output
**SG**: P4/mmm
**Crystal system**: tetragonal
**Magnetic moment**: 0.00 μB/cell

---

b | Here is Pr2HoHf after structural relaxation from the Alexandria database. Energies are from PBE-GGA.

Lattice parameters (Å, degrees): 4.069 4.069 7.380 90.00 90.00 90.00
Positions (direct):
Pr1 0.000 0.000 0.225
Pr2 0.000 0.000 0.775
Ho1 0.500 0.500 0.500
Hf1 0.500 0.500 0.000

Output
**SG**: P4/mmm
**Crystal system**: tetragonal
**Magnetic moment**: 0.00 μB/cell

---

c | Here is Pr2HoHf after structural relaxation from the Alexandria database. Energies are from PBE-GGA.

Lattice parameters (Å, degrees): 3.396 3.396 36.853 90.00 90.00 120.00
Positions (direct):
Pr1 0.000 0.000 0.085
Pr2 0.000 0.000 0.915
Pr3 0.333 0.667 0.582
Pr4 0.333 0.667 0.752
Pr5 0.667 0.333 0.248
Pr6 0.667 0.333 0.418
Ho1 0.000 0.000 0.500
Ho2 0.333 0.667 0.167
Ho3 0.667 0.333 0.833
Hf1 0.000 0.000 0.000
Hf2 0.333 0.667 0.667
Hf3 0.667 0.333 0.333

Output
**SG**: R-3m
**Crystal system**: trigonal
**Magnetic moment**: 0.00 μB/cell

---

Each structure's energy above the most stable one, in meV/atom: a 0; b 35; c 204.

---

a | Here is HoHfPt2 after structural relaxation from the Alexandria database. Energies are from PBE-GGA.

Lattice parameters (Å, degrees): 4.617 4.617 13.401 90.00 90.00 120.00
Positions (direct):
Ho1 0.000 0.000 0.000
Ho2 0.333 0.667 0.667
Ho3 0.667 0.333 0.333
Hf1 0.000 0.000 0.500
Hf2 0.333 0.667 0.167
Hf3 0.667 0.333 0.833
Pt1 0.000 0.000 0.220
Pt2 0.000 0.000 0.780
Pt3 0.333 0.667 0.446
Pt4 0.333 0.667 0.887
Pt5 0.667 0.333 0.113
Pt6 0.667 0.333 0.554

Output
**SG**: R-3m
**Crystal system**: trigonal
**Magnetic moment**: 0.00 μB/cell

---

b | Here is HoHfPt2 after structural relaxation from the Alexandria database. Energies are from PBE-GGA.

Lattice parameters (Å, degrees): 5.725 4.495 6.741 90.00 110.14 90.00
Positions (direct):
Ho1 0.177 0.250 0.402
Ho2 0.823 0.750 0.598
Hf1 0.361 0.750 0.108
Hf2 0.639 0.250 0.892
Pt1 0.115 0.250 0.889
Pt2 0.370 0.750 0.716
Pt3 0.630 0.250 0.284
Pt4 0.885 0.750 0.111

Output
**SG**: P2_1/m
**Crystal system**: monoclinic
**Magnetic moment**: 0.00 μB/cell

---

c | Here is HoHfPt2 after structural relaxation from the Alexandria database. Energies are from PBE-GGA.

Lattice parameters (Å, degrees): 3.369 3.369 7.023 90.00 90.00 90.00
Positions (direct):
Ho1 0.000 0.000 0.000
Hf1 0.000 0.000 0.500
Pt1 0.500 0.500 0.283
Pt2 0.500 0.500 0.717

Output
**SG**: P4/mmm
**Crystal system**: tetragonal
**Magnetic moment**: 0.00 μB/cell

---

Each structure's energy above the most stable one, in meV/atom: a 57; b 0; c 35.

---

a | Here is HoPuHf after structural relaxation from the Alexandria database. Energies are from PBE-GGA.

Lattice parameters (Å, degrees): 5.277 5.277 3.172 90.00 90.00 120.00
Positions (direct):
Ho1 0.000 0.000 0.000
Pu1 0.667 0.333 0.500
Hf1 0.333 0.667 0.500

Output
**SG**: P-6m2
**Crystal system**: hexagonal
**Magnetic moment**: 5.31 μB/cell

---

b | Here is HoPuHf after structural relaxation from the Alexandria database. Energies are from PBE-GGA.

Lattice parameters (Å, degrees): 8.286 8.286 8.286 95.51 95.51 143.89
Positions (direct):
Ho1 0.171 0.171 0.342
Ho2 0.171 0.829 0.000
Ho3 0.829 0.171 0.000
Ho4 0.829 0.829 0.658
Pu1 0.000 0.378 0.378
Pu2 0.000 0.622 0.622
Pu3 0.378 0.000 0.378
Pu4 0.622 0.000 0.622
Hf1 0.280 0.500 0.780
Hf2 0.500 0.280 0.780
Hf3 0.500 0.720 0.220
Hf4 0.720 0.500 0.220

Output
**SG**: I4/mmm
**Crystal system**: tetragonal
**Magnetic moment**: 19.69 μB/cell

---

c | Here is HoPuHf after structural relaxation from the Alexandria database. Energies are from PBE-GGA.

Lattice parameters (Å, degrees): 3.304 3.304 14.304 90.00 90.00 90.00
Positions (direct):
Ho1 0.000 0.000 0.000
Ho2 0.500 0.500 0.500
Pu1 0.000 0.000 0.319
Pu2 0.500 0.500 0.819
Hf1 0.000 0.000 0.666
Hf2 0.500 0.500 0.166

Output
**SG**: I4mm
**Crystal system**: tetragonal
**Magnetic moment**: 11.50 μB/cell

---

Each structure's energy above the most stable one, in meV/atom: a 58; b 268; c 0.